(1)
This record from OQMD via LeMat-Bulk describes a relaxed structure of DyScNO. The functional is PBE-GGA.

Summary:
- energy (eV/atom) = -8.384
- magnetic moment (μB/cell) = 0.01
- SG = No. 123

```
DyScNO
1.0
4.731 0.000 0.000
0.000 4.731 0.000
0.000 0.000 4.600
N Dy O Sc
2 2 2 2
Cartesian
3.548 3.548 2.299 N
1.183 1.183 2.301 N
3.548 1.183 2.300 Dy
1.183 3.548 2.300 Dy
3.548 1.183 0.000 O
1.183 3.548 0.000 O
1.183 1.183 4.599 Sc
3.548 3.548 0.001 Sc
```


(2)
This record from OQMD via LeMat-Bulk describes a relaxed structure of DyScNO. The functional is PBE-GGA.

Summary:
- energy (eV/atom) = -8.287
- magnetic moment (μB/cell) = 0.03
- SG = No. 57

```
DyScNO
1.0
6.345 0.000 0.000
0.000 7.853 0.000
0.000 0.000 4.764
Sc O N Dy
4 4 4 4
Cartesian
5.869 6.928 2.623 Sc
2.697 0.925 2.623 Sc
3.648 6.928 0.240 Sc
0.476 0.925 0.240 Sc
0.619 0.885 2.623 O
5.726 6.968 0.241 O
3.791 6.968 2.623 O
2.554 0.885 0.241 O
0.387 5.022 2.624 N
2.785 5.022 0.241 N
5.957 2.831 0.241 N
3.560 2.831 2.624 N
3.638 2.876 0.241 Dy
0.465 4.977 0.241 Dy
2.707 4.977 2.624 Dy
5.879 2.876 2.624 Dy
```


(3)
This record from OQMD via LeMat-Bulk describes a relaxed structure of DyScNO. The functional is PBE-GGA.

Summary:
- energy (eV/atom) = -8.011
- magnetic moment (μB/cell) = 0.13
- SG = No. 129

```
DyScNO
1.0
-0.671 0.284 3.857
-3.819 -0.666 -0.615
1.239 -7.839 0.793
Dy O N Sc
2 2 2 2
Cartesian
-2.291 -7.099 3.120 Dy
-0.960 -1.123 0.914 Dy
-1.458 0.047 2.739 O
-3.032 -0.429 0.503 O
-2.905 -3.213 2.727 N
-0.346 -5.008 1.307 N
-2.412 -4.348 0.899 Sc
-0.838 -3.873 3.135 Sc
```


(4)
This record from OQMD via LeMat-Bulk describes a relaxed structure of DyScNO. The functional is PBE-GGA.

Summary:
- energy (eV/atom) = -8.314
- magnetic moment (μB/cell) = 0.01
- SG = No. 51

```
DyScNO
1.0
-2.842 -2.638 -0.838
2.646 -1.717 -3.570
2.652 -4.109 3.942
O N Dy Sc
2 2 2 2
Cartesian
0.135 -2.685 -1.398 O
3.320 -6.427 -0.416 O
3.018 -3.630 1.194 N
3.279 -2.844 -2.169 N
2.021 -2.087 -0.286 Dy
4.275 -4.386 -0.689 Dy
1.903 -5.424 1.233 Sc
1.550 -3.686 -3.043 Sc
```


(5)
This record from OQMD via LeMat-Bulk describes a relaxed structure of DyScNO. The functional is PBE-GGA.

Summary:
- energy (eV/atom) = -8.316
- magnetic moment (μB/cell) = 0.01
- SG = No. 57

```
DyScNO
1.0
-6.288 -0.700 -0.572
0.980 -3.012 -7.088
0.309 -4.307 1.873
N O Dy Sc
4 4 4 4
Cartesian
-2.615 -5.455 -5.598 N
-4.889 -3.537 -6.727 N
-2.507 -0.848 -0.936 N
-0.233 -2.765 0.193 N
-5.386 -1.919 -2.926 O
-1.952 -2.458 -4.732 O
-3.170 -3.843 -1.802 O
0.263 -4.382 -3.608 O
-1.962 -4.575 -3.684 Dy
-3.160 -1.726 -2.850 Dy
0.239 -2.159 -4.406 Dy
-5.361 -4.142 -2.128 Dy
-2.306 -3.014 -0.036 Sc
-2.816 -3.289 -6.498 Sc
-4.700 -5.669 -5.746 Sc
-0.422 -0.634 -0.787 Sc
```


(6)
This record from OQMD via LeMat-Bulk describes a relaxed structure of DySnNO. The functional is PBE-GGA.

Summary:
- energy (eV/atom) = -7.137
- magnetic moment (μB/cell) = 0.00
- SG = No. 29

```
DySnNO
1.0
-4.656 2.038 2.467
3.497 -1.062 7.476
2.111 5.136 -0.258
O Dy N Sn
4 4 4 4
Cartesian
2.036 3.678 4.071 O
-0.194 4.667 5.515 O
1.004 1.099 4.187 O
-1.226 2.088 5.632 O
0.953 5.623 3.820 Dy
-2.288 4.012 5.108 Dy
4.160 4.338 4.465 Dy
0.918 2.726 5.752 Dy
1.509 3.165 8.000 N
1.100 2.977 0.914 N
-0.940 1.207 8.868 N
-1.350 1.019 1.782 N
-0.515 3.399 8.830 Sn
2.633 5.052 7.593 Sn
-0.811 3.177 1.986 Sn
2.336 4.830 0.749 Sn
```


(7)
This record from OQMD via LeMat-Bulk describes a relaxed structure of DySnNO. The functional is PBE-GGA.

Summary:
- energy (eV/atom) = -6.530
- magnetic moment (μB/cell) = 0.00
- SG = No. 129

```
DySnNO
1.0
4.197 0.000 0.000
0.000 4.197 0.000
0.000 0.000 7.458
O Sn N Dy
2 2 2 2
Cartesian
3.148 1.049 0.000 O
1.049 3.148 0.000 O
1.049 3.148 3.729 Sn
3.148 1.049 3.729 Sn
3.148 3.148 2.636 N
1.049 1.049 4.821 N
3.148 3.148 6.571 Dy
1.049 1.049 0.887 Dy
```


(8)
This record from OQMD via LeMat-Bulk describes a relaxed structure of DySnNO. The functional is PBE-GGA.

Summary:
- energy (eV/atom) = -6.436
- magnetic moment (μB/cell) = 0.00
- SG = No. 129

```
DySnNO
1.0
-0.765 -3.919 1.687
4.171 -0.325 1.135
-1.603 3.250 6.824
Dy N Sn O
2 2 2 2
Cartesian
-0.332 -1.396 4.961 Dy
2.135 0.401 4.685 Dy
-0.102 0.872 4.765 N
1.905 -1.867 4.881 N
1.137 -0.310 8.149 Sn
0.666 -0.684 1.496 Sn
0.469 -3.021 1.549 O
2.937 -1.224 1.273 O
```


(9)
This record from OQMD via LeMat-Bulk describes a relaxed structure of DySnNO. The functional is PBE-GGA.

Summary:
- energy (eV/atom) = -6.927
- magnetic moment (μB/cell) = 0.00
- SG = No. 26

```
DySnNO
1.0
-1.707 -2.956 0.000
0.000 0.000 5.911
-5.693 3.287 0.000
Sn Dy O N
2 2 2 2
Cartesian
-5.852 1.408 3.115 Sn
-1.548 -1.077 0.160 Sn
-2.282 1.318 3.194 Dy
-3.411 1.969 0.239 Dy
-3.075 -0.195 1.699 O
-4.325 0.526 4.655 O
-1.556 0.898 5.313 N
-4.137 2.389 2.358 N
```


(10)
This record from OQMD via LeMat-Bulk describes a relaxed structure of DySnNO. The functional is PBE-GGA.

Summary:
- energy (eV/atom) = -6.787
- magnetic moment (μB/cell) = 0.00
- SG = No. 26

```
DySnNO
1.0
-1.895 -3.283 0.000
0.000 0.000 6.469
-5.083 2.935 0.000
O N Dy Sn
2 2 2 2
Cartesian
-1.642 -1.241 2.078 O
-5.337 0.893 5.312 O
-1.959 1.131 5.868 N
-3.124 1.804 2.634 N
-1.890 -1.097 6.415 Dy
-5.089 0.750 3.181 Dy
-1.483 0.856 3.454 Sn
-3.601 2.079 0.220 Sn
```


(11)
This record from OQMD via LeMat-Bulk describes a relaxed structure of DySnNO. The functional is PBE-GGA.

Summary:
- energy (eV/atom) = -6.856
- magnetic moment (μB/cell) = 0.01
- SG = No. 29

```
DySnNO
1.0
-4.186 0.856 5.159
-5.383 -2.337 -3.981
1.032 -5.301 1.717
Dy O N Sn
4 4 4 4
Cartesian
-7.893 -3.753 2.137 Dy
-0.170 -5.469 1.548 Dy
-2.029 -2.544 2.345 Dy
-6.033 -6.678 1.339 Dy
-3.429 -4.192 1.712 O
-5.267 -1.778 0.919 O
-2.380 -1.861 -1.073 O
-6.315 -4.108 3.705 O
-0.386 -3.272 0.980 N
-2.273 -0.341 1.811 N
-6.615 -4.639 0.501 N
-8.502 -1.709 1.332 N
-3.386 -5.380 3.544 Sn
-4.700 -3.721 0.102 Sn
-3.102 -6.593 -0.373 Sn
-4.984 -2.508 4.019 Sn
```


(12)
This record from OQMD via LeMat-Bulk describes a relaxed structure of SrDyNO. The functional is PBE-GGA.

Summary:
- energy (eV/atom) = -6.950
- magnetic moment (μB/cell) = 0.00
- SG = No. 123

```
SrDyNO
1.0
-4.926 -0.173 -0.615
-0.561 -1.118 4.807
-0.315 4.979 1.121
O N Sr Dy
2 2 2 2
Cartesian
-1.652 -0.882 3.452 O
-3.835 -0.409 0.741 O
-1.529 2.167 1.609 N
-4.273 1.521 3.705 N
-1.687 4.655 2.169 Sr
-4.115 -0.967 3.144 Sr
-1.810 1.607 4.012 Dy
-3.992 2.080 1.301 Dy
```